# KRb2SmI6

An optimized crystal structure of KRb2SmI6 (PBE, Alexandria).

Results
Total energy in eV/atom: -3.1808
Volume in Å³/cell: 990.9
Energy relative to the elements, uncorrected in eV/atom: -1.48

The structure in POSCAR format:
```
KRb2SmI6
1.0
-3.4755 7.8379 -1.2734
-5.9383 -1.5112 6.9055
7.9827 5.0969 7.9800
K Rb Sm I
2 4 2 12
Cartesian
-1.7377 3.9189 -0.6367 K
1.0222 1.7929 7.4427 K
-3.5269 0.1727 8.3222 Rb
0.7092 7.1446 9.3701 Rb
2.0958 11.2510 5.2898 Rb
-2.1402 4.2790 4.2419 Rb
2.2536 6.4674 3.3533 Sm
-2.9691 -0.7556 3.4527 Sm
-4.6019 1.5218 4.7873 I
-3.1618 7.7822 9.0866 I
3.1709 9.9018 8.8247 I
1.7307 3.6414 4.5255 I
-1.9534 3.7029 7.9919 I
-0.0806 10.0734 11.7879 I
0.5224 7.7207 5.6202 I
-1.3505 1.3502 1.8241 I
-4.3929 7.2272 4.4955 I
-1.1324 5.2285 11.9929 I
2.9618 4.1964 9.1165 I
-0.2986 6.1951 1.6191 I
```

=====

# KRb2Sn2I7

An optimized crystal structure of KRb2Sn2I7 (PBE, Alexandria).

Results
Total energy in eV/atom: -2.7861
Volume in Å³/cell: 601.8
Energy relative to the elements, uncorrected in eV/atom: -0.96

The structure in POSCAR format:
```
KRb2Sn2I7
1.0
-3.3174 -4.8713 2.0758
-0.3377 -2.2639 -5.8142
11.1927 -11.4891 0.4301
K Rb Sn I
1 2 2 7
Cartesian
0.0000 0.0000 0.0000 K
1.0856 -9.7104 -2.7990 Rb
6.4519 -8.9139 -0.5093 Rb
6.6458 -13.4455 -1.9336 Sn
0.8917 -5.1788 -1.3747 Sn
-1.8276 -3.5676 -1.8692 I
3.4282 -6.9025 -0.9864 I
4.1093 -11.7218 -2.3219 I
-0.8971 -7.4765 -0.2752 I
0.6321 -6.1384 -4.3243 I
6.9055 -12.4859 1.0160 I
8.4346 -11.1477 -3.0331 I
```

=====

# K2RbSnI5

An optimized crystal structure of K2RbSnI5 (PBE, Alexandria).

Results
Total energy in eV/atom: -2.7705
Volume in Å³/cell: 864.2
Energy relative to the elements, uncorrected in eV/atom: -1.11

The structure in POSCAR format:
```
K2RbSnI5
1.0
-3.3234 -2.6042 -2.9636
9.5406 -5.7676 -1.1413
-3.8558 -8.7564 12.0186
K Rb Sn I
4 2 2 10
Cartesian
0.9652 -13.4304 6.2300 K
-0.8834 -7.5612 7.6350 K
1.0118 -4.5710 2.8821 K
3.7551 -8.4083 -1.3118 K
0.8328 -9.8799 3.2585 Rb
3.3104 -3.2018 -0.8988 Rb
-4.8888 -9.9723 9.7560 Sn
5.7329 -10.6018 2.8873 Sn
5.9921 -5.3927 -1.9808 I
-2.5050 -11.1089 8.0815 I
4.6815 -13.4767 6.5926 I
1.7051 -9.9593 6.8396 I
3.3017 -12.5873 2.8689 I
-1.7129 -7.3804 3.9169 I
3.9818 -8.0282 2.5894 I
-2.3919 -3.8148 1.5451 I
1.1190 -6.1184 -0.3678 I
0.5309 -1.1998 0.4589 I
```

=====

# KRb2SnI5

An optimized crystal structure of KRb2SnI5 (PBE, Alexandria).

Results
Total energy in eV/atom: -2.7799
Volume in Å³/cell: 877.0
Energy relative to the elements, uncorrected in eV/atom: -1.14

The structure in POSCAR format:
```
KRb2SnI5
1.0
5.2470 0.0000 0.0000
-2.6235 10.6567 0.0000
0.0000 0.0000 15.6842
K Rb Sn I
2 4 2 10
Cartesian
2.6235 6.1060 8.1916 K
0.0000 4.5507 0.3495 K
2.6235 7.5561 12.6696 Rb
0.0000 2.3376 10.7417 Rb
0.0000 3.1006 4.8275 Rb
2.6235 8.3191 2.8996 Rb
2.6235 0.6250 14.8560 Sn
0.0000 10.0317 7.0139 Sn
0.0000 8.0852 15.6266 I
2.6235 3.5733 13.7246 I
0.0000 10.3800 11.9504 I
0.0000 5.9695 10.5608 I
2.6235 9.6260 8.7071 I
2.6235 2.5715 7.7845 I
0.0000 7.0834 5.8825 I
2.6235 0.2767 4.1083 I
2.6235 4.6872 2.7187 I
0.0000 1.0307 0.8650 I
```